The following is a DFT calculation (GGA-PBE) of crystalline Np2RhS5 at its relaxed geometry. Values from VASP.

raw formation energy	-1.076	eV/atom
calculated volume	18.7	Å³/atom
density of states at the Fermi level	28.28	states/eV per cell
ρ	8.20	g cm⁻³

Cell and atoms, written as Quantum ESPRESSO input:
```
&SYSTEM
  ibrav = 0, nat = 16, ntyp = 3
/
ATOMIC_SPECIES
Np 237.00 Np.upf
Rh 102.91 Rh.upf
S 32.06 S.upf
CELL_PARAMETERS angstrom
-2.395 -2.655 -1.250
-0.831 -2.621 7.158
-7.885 6.435 1.440
ATOMIC_POSITIONS crystal
Np 0.500 0.566 0.183
Np 0.500 0.434 0.817
Np 0.500 0.934 0.683
Np 0.500 0.066 0.317
Rh 0.000 0.500 0.500
Rh 0.000 0.000 0.000
S 0.000 0.000 0.500
S 0.000 0.500 0.000
S 0.000 0.845 0.202
S 0.000 0.155 0.798
S 0.000 0.655 0.702
S 0.000 0.345 0.298
S 0.500 0.681 0.440
S 0.500 0.319 0.560
S 0.500 0.819 0.940
S 0.500 0.181 0.060
```

The following is a DFT calculation (GGA-PBE) of crystalline NpRhS at its relaxed geometry. Values from VASP.

relative energy among the computed polymorphs	0.0	meV/atom
raw formation energy	-0.755	eV/atom
calculated volume	18.2	Å³/atom
density of states at the Fermi level	8.59	states/eV per cell
ρ	11.33	g cm⁻³

Cell and atoms, written as Quantum ESPRESSO input:
```
&SYSTEM
  ibrav = 0, nat = 3, ntyp = 3
/
ATOMIC_SPECIES
Np 237.00 Np.upf
S 32.06 S.upf
Rh 102.91 Rh.upf
CELL_PARAMETERS angstrom
-0.708 3.087 -1.763
-3.641 0.309 2.003
3.428 1.718 1.632
ATOMIC_POSITIONS crystal
Np 0.667 0.667 0.333
S 0.167 0.000 0.000
Rh 0.167 0.333 0.667
```

The following is a DFT calculation (GGA-PBE) of crystalline Np4RhS6 at its relaxed geometry. Values from VASP.

raw formation energy	-1.175	eV/atom
calculated volume	19.0	Å³/atom
density of states at the Fermi level	55.24	states/eV per cell
ρ	9.87	g cm⁻³

Cell and atoms, written as Quantum ESPRESSO input:
```
&SYSTEM
  ibrav = 0, nat = 22, ntyp = 3
/
ATOMIC_SPECIES
Np 237.00 Np.upf
Rh 102.91 Rh.upf
S 32.06 S.upf
CELL_PARAMETERS angstrom
-0.364 -3.497 -6.485
0.813 -6.472 3.444
-7.631 -0.568 0.734
ATOMIC_POSITIONS crystal
Np 0.339 0.161 0.250
Np 0.161 0.661 0.750
Np 0.661 0.839 0.750
Np 0.839 0.339 0.750
Np 0.339 0.161 0.750
Np 0.161 0.661 0.250
Np 0.839 0.339 0.250
Np 0.661 0.839 0.250
Rh 0.500 0.500 0.000
Rh 0.000 0.000 0.500
S 0.341 0.870 0.500
S 0.841 0.630 0.000
S 0.630 0.159 0.000
S 0.130 0.341 0.500
S 0.000 0.000 0.196
S 0.500 0.500 0.304
S 0.370 0.841 0.000
S 0.000 0.000 0.804
S 0.159 0.370 0.000
S 0.500 0.500 0.696
S 0.870 0.659 0.500
S 0.659 0.130 0.500
```

The following is a DFT calculation (GGA-PBE) of crystalline NpRhS at its relaxed geometry. Values from VASP.

relative energy among the computed polymorphs	233.6	meV/atom
raw formation energy	-0.522	eV/atom
calculated volume	21.5	Å³/atom
density of states at the Fermi level	13.88	states/eV per cell
ρ	9.55	g cm⁻³

Cell and atoms, written as Quantum ESPRESSO input:
```
&SYSTEM
  ibrav = 0, nat = 6, ntyp = 3
/
ATOMIC_SPECIES
Np 237.00 Np.upf
Rh 102.91 Rh.upf
S 32.06 S.upf
CELL_PARAMETERS angstrom
-4.489 0.436 0.255
-2.552 -3.546 1.149
-1.766 0.828 7.517
ATOMIC_POSITIONS crystal
Np 0.243 0.243 0.270
Np 0.757 0.757 0.730
Rh 0.360 0.360 0.920
Rh 0.640 0.640 0.080
S 0.881 0.881 0.356
S 0.119 0.119 0.644
```

The following is a DFT calculation (GGA-PBE) of crystalline Np2RhS4 at its relaxed geometry. Values from VASP.

raw formation energy	-1.111	eV/atom
calculated volume	20.4	Å³/atom
density of states at the Fermi level	31.71	states/eV per cell
ρ	8.21	g cm⁻³

Cell and atoms, written as Quantum ESPRESSO input:
```
&SYSTEM
  ibrav = 0, nat = 14, ntyp = 3
/
ATOMIC_SPECIES
Np 237.00 Np.upf
Rh 102.91 Rh.upf
S 32.06 S.upf
CELL_PARAMETERS angstrom
7.240 -0.269 -2.069
-3.657 6.255 -2.069
-0.340 -0.568 6.833
ATOMIC_POSITIONS crystal
Np 0.441 0.489 0.434
Np 0.056 0.007 0.566
Np 0.257 0.806 0.066
Np 0.739 0.191 0.934
Rh 0.763 0.263 0.500
Rh 0.513 0.513 0.000
S 0.509 0.762 0.859
S 0.012 0.259 0.359
S 0.150 0.383 0.962
S 0.633 0.900 0.462
S 0.438 0.172 0.538
S 0.903 0.650 0.141
S 0.900 0.653 0.641
S 0.422 0.188 0.038
```

The following is a DFT calculation (GGA-PBE) of crystalline Np2RhSeS4 at its relaxed geometry. Values from VASP.

raw formation energy	-0.993	eV/atom
calculated volume	20.8	Å³/atom
density of states at the Fermi level	16.10	states/eV per cell
ρ	7.83	g cm⁻³

Cell and atoms, written as Quantum ESPRESSO input:
```
&SYSTEM
  ibrav = 0, nat = 8, ntyp = 4
/
ATOMIC_SPECIES
Np 237.00 Np.upf
Rh 102.91 Rh.upf
Se 78.96 Se.upf
S 32.06 S.upf
CELL_PARAMETERS angstrom
3.760 0.000 0.000
1.880 5.065 0.187
1.880 1.068 8.768
ATOMIC_POSITIONS crystal
Np 0.856 0.545 0.742
Np 0.144 0.455 0.258
Rh 0.000 0.000 0.000
Se 0.500 0.500 0.500
S 0.157 0.953 0.733
S 0.370 0.300 0.960
S 0.843 0.047 0.267
S 0.630 0.700 0.040
```

The following is a DFT calculation (GGA-PBE) of crystalline SrNp2RhS4 at its relaxed geometry. Values from VASP.

raw formation energy	-1.384	eV/atom
calculated volume	22.0	Å³/atom
density of states at the Fermi level	36.20	states/eV per cell
ρ	7.50	g cm⁻³

Cell and atoms, written as Quantum ESPRESSO input:
```
&SYSTEM
  ibrav = 0, nat = 16, ntyp = 4
/
ATOMIC_SPECIES
Sr 87.62 Sr.upf
Np 237.00 Np.upf
Rh 102.91 Rh.upf
S 32.06 S.upf
CELL_PARAMETERS angstrom
-2.918 -2.295 -1.380
5.258 -0.702 -4.268
4.657 -10.400 7.450
ATOMIC_POSITIONS crystal
Sr 0.113 0.226 0.750
Sr 0.887 0.774 0.250
Np 0.367 0.735 0.566
Np 0.633 0.265 0.066
Np 0.633 0.265 0.434
Np 0.367 0.735 0.934
Rh 0.842 0.684 0.750
Rh 0.158 0.316 0.250
S 0.271 0.541 0.111
S 0.729 0.459 0.611
S 0.729 0.459 0.889
S 0.271 0.541 0.389
S 0.000 0.000 0.500
S 0.000 0.000 0.000
S 0.445 0.889 0.750
S 0.555 0.111 0.250
```

The following is a DFT calculation (GGA-PBE) of crystalline Np2TlRhS4 at its relaxed geometry. Values from VASP.

raw formation energy	-1.018	eV/atom
calculated volume	22.9	Å³/atom
density of states at the Fermi level	33.76	states/eV per cell
ρ	8.25	g cm⁻³

Cell and atoms, written as Quantum ESPRESSO input:
```
&SYSTEM
  ibrav = 0, nat = 16, ntyp = 4
/
ATOMIC_SPECIES
Np 237.00 Np.upf
Tl 204.38 Tl.upf
Rh 102.91 Rh.upf
S 32.06 S.upf
CELL_PARAMETERS angstrom
-2.223 -0.249 -3.197
2.300 -6.514 1.289
-11.153 -2.366 7.941
ATOMIC_POSITIONS crystal
Np 0.367 0.734 0.564
Np 0.633 0.266 0.064
Np 0.633 0.266 0.436
Np 0.367 0.734 0.936
Tl 0.111 0.223 0.750
Tl 0.889 0.777 0.250
Rh 0.826 0.651 0.750
Rh 0.174 0.349 0.250
S 0.264 0.529 0.103
S 0.736 0.471 0.603
S 0.736 0.471 0.897
S 0.264 0.529 0.397
S 0.000 0.000 0.500
S 0.000 0.000 0.000
S 0.423 0.845 0.750
S 0.577 0.155 0.250
```

The following is a DFT calculation (GGA-PBE) of crystalline Np3Tl3RhS8 at its relaxed geometry. Values from VASP.

raw formation energy	-0.863	eV/atom
calculated volume	26.6	Å³/atom
density of states at the Fermi level	23.40	states/eV per cell
ρ	7.00	g cm⁻³

Cell and atoms, written as Quantum ESPRESSO input:
```
&SYSTEM
  ibrav = 0, nat = 15, ntyp = 4
/
ATOMIC_SPECIES
Np 237.00 Np.upf
Tl 204.38 Tl.upf
Rh 102.91 Rh.upf
S 32.06 S.upf
CELL_PARAMETERS angstrom
7.725 0.008 -0.003
-3.856 6.678 -0.028
-0.008 -4.422 7.755
ATOMIC_POSITIONS crystal
Np 0.500 0.000 0.500
Np 0.500 0.500 0.500
Np 0.000 0.500 0.500
Tl 0.000 0.000 0.000
Tl 0.000 0.500 0.000
Tl 0.500 0.500 0.000
Rh 0.000 0.000 0.500
S 0.267 0.533 0.298
S 0.733 0.467 0.702
S 0.783 0.566 0.315
S 0.217 0.434 0.685
S 0.783 0.032 0.315
S 0.217 0.968 0.685
S 0.248 0.032 0.315
S 0.752 0.968 0.685
```

The following is a DFT calculation (GGA-PBE) of crystalline Np2Tl3RhS6 at its relaxed geometry. Values from VASP.

raw formation energy	-0.781	eV/atom
calculated volume	24.2	Å³/atom
density of states at the Fermi level	17.57	states/eV per cell
ρ	7.92	g cm⁻³

Cell and atoms, written as Quantum ESPRESSO input:
```
&SYSTEM
  ibrav = 0, nat = 12, ntyp = 4
/
ATOMIC_SPECIES
Np 237.00 Np.upf
Tl 204.38 Tl.upf
Rh 102.91 Rh.upf
S 32.06 S.upf
CELL_PARAMETERS angstrom
-1.166 6.484 -0.093
-5.013 -4.276 0.025
2.080 -0.659 7.755
ATOMIC_POSITIONS crystal
Np 0.335 0.665 0.000
Np 0.665 0.335 0.000
Tl 0.173 0.827 0.500
Tl 0.827 0.173 0.500
Tl 0.500 0.500 0.500
Rh 0.000 0.000 0.000
S 0.938 0.625 0.813
S 0.755 0.755 0.196
S 0.062 0.375 0.187
S 0.625 0.938 0.813
S 0.245 0.245 0.804
S 0.375 0.062 0.187
```

The following is a DFT calculation (GGA-PBE) of crystalline NpTl3Rh3S8 at its relaxed geometry. Values from VASP.

raw formation energy	-0.595	eV/atom
calculated volume	22.4	Å³/atom
density of states at the Fermi level	9.56	states/eV per cell
ρ	6.98	g cm⁻³

Cell and atoms, written as Quantum ESPRESSO input:
```
&SYSTEM
  ibrav = 0, nat = 15, ntyp = 4
/
ATOMIC_SPECIES
Np 237.00 Np.upf
Tl 204.38 Tl.upf
Rh 102.91 Rh.upf
S 32.06 S.upf
CELL_PARAMETERS angstrom
7.128 0.000 0.000
-3.564 6.174 -0.029
0.000 -4.086 7.670
ATOMIC_POSITIONS crystal
Np 0.000 0.000 0.500
Tl 0.000 0.000 0.000
Tl 0.000 0.500 0.000
Tl 0.500 0.500 0.000
Rh 0.500 0.000 0.500
Rh 0.500 0.500 0.500
Rh 0.000 0.500 0.500
S 0.280 0.560 0.340
S 0.720 0.440 0.660
S 0.759 0.517 0.316
S 0.241 0.483 0.684
S 0.759 0.057 0.316
S 0.241 0.943 0.684
S 0.298 0.057 0.316
S 0.702 0.943 0.684
```

The following is a DFT calculation (GGA-PBE) of crystalline NpU2RhS5 at its relaxed geometry. Values from VASP.

raw formation energy	-1.136	eV/atom
calculated volume	18.3	Å³/atom
density of states at the Fermi level	18.17	states/eV per cell
ρ	9.82	g cm⁻³

Cell and atoms, written as Quantum ESPRESSO input:
```
&SYSTEM
  ibrav = 0, nat = 18, ntyp = 4
/
ATOMIC_SPECIES
Np 237.00 Np.upf
U 238.03 U.upf
Rh 102.91 Rh.upf
S 32.06 S.upf
CELL_PARAMETERS angstrom
-1.930 3.558 -5.971
-6.726 -2.517 0.675
2.790 4.534 6.157
ATOMIC_POSITIONS crystal
Np 0.250 0.250 0.500
Np 0.750 0.750 0.500
U 0.121 0.379 0.000
U 0.621 0.121 0.000
U 0.379 0.879 0.000
U 0.879 0.621 0.000
Rh 0.250 0.750 0.500
Rh 0.750 0.250 0.500
S 0.960 0.460 0.283
S 0.677 0.177 0.717
S 0.040 0.540 0.717
S 0.177 0.040 0.717
S 0.540 0.677 0.717
S 0.823 0.960 0.283
S 0.460 0.323 0.283
S 0.323 0.823 0.283
S 0.500 0.500 0.000
S 0.000 0.000 0.000
```